Computed, not measured: a relaxed structure of Mn3SnH at the GGA-PBE level of DFT.

The space group is P4mm (No. 99) and the conventional cell measures 3.395, 3.395 and 6.839 Å, with angles of 90.00, 90.00 and 90.00 degrees. The asymmetric unit holds Mn at (0.000, 0.000, 0.000), Mn at (0.000, 0.500, 0.714), Sn at (0.000, 0.000, 0.398) and H at (0.500, 0.500, 0.645).

The value obtained for the electronic total energy is -6.473 eV per atom. The calculation puts the density of states at the Fermi level at 5.53 states/eV/f.u. The total moment comes out at 6.58 μB per formula unit.